Entry 1:
Compound: B2SbH6
Source: Alexandria
Functional: PBE-GGA
Structure: optimized geometry

Cell: 4.7986 4.7986 4.7986 Å, 60.00 60.00 60.00°
Positions (direct):
H 0.7256 0.2744 0.7256
H 0.7256 0.2744 0.2744
B 0.2500 0.2500 0.2500
H 0.2744 0.7256 0.2744
B 0.7500 0.7500 0.7500
H 0.7256 0.7256 0.2744
H 0.2744 0.7256 0.7256
H 0.2744 0.2744 0.7256
Sb 0.0000 0.0000 0.0000

Properties
- crystal system = cubic
- raw total energy (eV/cell) = -24.0

***

Entry 2:
Compound: SiBSb2H
Source: Alexandria
Functional: PBE-GGA
Structure: optimized geometry

Cell: 5.2925 3.2215 5.2925 Å, 90.00 90.00 90.00°
Positions (direct):
H 0.0000 0.5000 0.0000
Si 0.0000 0.0000 0.0000
B 0.5000 0.5000 0.5000
Sb 0.0000 0.0000 0.5000
Sb 0.5000 0.0000 0.0000

Properties
- crystal system = tetragonal
- raw total energy (eV/cell) = -18.9

***

Entry 3:
Compound: BSbTe2H
Source: Alexandria
Functional: PBE-GGA
Structure: optimized geometry

Cell: 5.0530 5.0530 4.0821 Å, 90.00 90.00 90.00°
Positions (direct):
H 0.0000 0.0000 0.0000
Te 0.5000 0.0000 0.0000
Sb 0.0000 0.0000 0.5000
Te 0.0000 0.5000 0.0000
B 0.5000 0.5000 0.5000

Properties
- crystal system = tetragonal
- raw total energy (eV/cell) = -14.4

***

Entry 4:
Compound: BSbTe2H
Source: Alexandria
Functional: PBE-GGA
Structure: optimized geometry

Cell: 4.8803 4.8803 4.8247 Å, 90.00 90.00 90.00°
Positions (direct):
Te 0.5000 0.0000 0.0000
Sb 0.0000 0.0000 0.5000
H 0.5000 0.5000 0.5000
B 0.0000 0.0000 0.0000
Te 0.0000 0.5000 0.0000

Properties
- crystal system = tetragonal
- raw total energy (eV/cell) = -14.9

***

> The lowest raw total energy belongs to which entry?

B2SbH6

***

> Look up the raw total energy of the third one.

-14.4 eV/cell

***

> Which of these has the lowest raw total energy?

B2SbH6